# 1
The following is a PBE calculation of a relaxed TbRh3O6 crystal, from Alexandria via LeMat-Bulk.

The structure in POSCAR format:
```
TbRh3O6
1.0
3.307 0.000 0.000
0.000 5.889 -2.002
0.000 -0.049 6.220
Tb Rh O
1 3 6
Direct
0.000 0.500 0.500
0.500 0.500 0.000
0.000 0.000 0.000
0.500 0.000 0.500
0.000 0.072 0.334
0.000 0.928 0.666
0.000 0.334 0.072
0.000 0.666 0.928
0.500 0.655 0.345
0.500 0.345 0.655
```

Values from the calculation:
space-group type: Cmmm, No. 65
magnetic moment: 0.95 μB/cell
N(E_F): 6.8 states/eV/cell
raw formation energy: -1.39 eV/atom
calculated density: 7.7 g/cm3

# 2
The following is a PBE calculation of a relaxed TbTeRhO6 crystal, from Alexandria via LeMat-Bulk.

The structure in POSCAR format:
```
TbTeRhO6
1.0
5.494 0.000 0.000
-2.747 4.758 0.000
0.000 0.000 8.486
Tb Te Rh O
2 2 2 12
Direct
0.333 0.667 0.250
0.667 0.333 0.750
0.667 0.333 0.250
0.333 0.667 0.750
0.000 0.000 0.000
0.000 0.000 0.500
0.684 0.643 0.122
0.959 0.316 0.122
0.316 0.959 0.622
0.041 0.684 0.878
0.357 0.316 0.378
0.959 0.643 0.378
0.643 0.959 0.878
0.684 0.041 0.378
0.041 0.357 0.622
0.357 0.041 0.122
0.643 0.684 0.622
0.316 0.357 0.878
```

Values from the calculation:
space-group type: P-31c, No. 163
magnetic moment: 0.00 μB/cell
raw formation energy: -1.42 eV/atom
calculated density: 7.3 g/cm3

# 3
The following is a PBE calculation of a relaxed TbTl2RhO6 crystal, from Alexandria via LeMat-Bulk.

The structure in POSCAR format:
```
TbTl2RhO6
1.0
-1.684 2.785 4.700
0.501 -2.480 5.126
4.105 2.008 3.758
Tb Tl Rh O
1 2 1 6
Direct
0.811 0.811 0.566
0.548 0.548 0.355
0.033 0.033 0.902
0.320 0.320 0.039
0.571 0.194 0.262
0.194 0.974 0.262
0.974 0.571 0.262
0.434 0.668 0.789
0.668 0.109 0.789
0.109 0.434 0.789
```

Values from the calculation:
space-group type: R3, No. 146
magnetic moment: 0.00 μB/cell
N(E_F): 4.4 states/eV/cell
raw formation energy: -1.36 eV/atom
calculated density: 9.2 g/cm3

calculated density of number 3 (TbTl2RhO6)?
9.2 g/cm3

What is the raw formation energy in the second record?
-1.42 eV/atom